Material: Ac6IrRh4
Method: DFT, PBE
State: optimized geometry

Results
For the total energy, the calculation gives -6.18 eV per atom. The space group is R-3c (167). The total magnetization comes out at 0.000 Bohr magnetons per cell.

abc: 8.6716 8.6716 8.6716
angles: 92.08 92.08 92.08
Atoms (fractional coordinates):
Ac1 0.0558 0.9125 0.6832
Ac2 0.0875 0.3168 0.9442
Ac3 0.1832 0.4125 0.5558
Ac4 0.3168 0.9442 0.0875
Ac5 0.4125 0.5558 0.1832
Ac6 0.4442 0.8168 0.5875
Ac7 0.5558 0.1832 0.4125
Ac8 0.5875 0.4442 0.8168
Ac9 0.6832 0.0558 0.9125
Ac10 0.8168 0.5875 0.4442
Ac11 0.9125 0.6832 0.0558
Ac12 0.9442 0.0875 0.3168
Ir1 0.0000 0.0000 0.0000
Ir2 0.5000 0.5000 0.5000
Rh1 0.1182 0.7500 0.3818
Rh2 0.2500 0.2500 0.2500
Rh3 0.2500 0.6182 0.8818
Rh4 0.3818 0.1182 0.7500
Rh5 0.6182 0.8818 0.2500
Rh6 0.7500 0.3818 0.1182
Rh7 0.7500 0.7500 0.7500
Rh8 0.8818 0.2500 0.6182


Material: Ac9Ir4Rh2
Method: DFT, PBE
State: optimized geometry

Results
For the total energy, the calculation gives -6.42 eV per atom. The space group is P-3c1 (165). The total magnetization comes out at 0.000 Bohr magnetons per cell.

abc: 7.4886 7.4886 20.7069
angles: 90.00 90.00 120.00
Atoms (fractional coordinates):
Ac1 0.0000 0.3291 0.2500
Ac2 0.0000 0.6709 0.7500
Ac3 0.0073 0.3422 0.9167
Ac4 0.0073 0.6651 0.4167
Ac5 0.3291 0.0000 0.2500
Ac6 0.3291 0.3291 0.7500
Ac7 0.3349 0.3422 0.4167
Ac8 0.3349 0.9927 0.9167
Ac9 0.3422 0.0073 0.5833
Ac10 0.3422 0.3349 0.0833
Ac11 0.6578 0.6651 0.9167
Ac12 0.6578 0.9927 0.4167
Ac13 0.6651 0.0073 0.0833
Ac14 0.6651 0.6578 0.5833
Ac15 0.6709 0.0000 0.7500
Ac16 0.6709 0.6709 0.2500
Ac17 0.9927 0.3349 0.5833
Ac18 0.9927 0.6578 0.0833
Ir1 0.3333 0.6667 0.0031
Ir2 0.3333 0.6667 0.3300
Ir3 0.3333 0.6667 0.5031
Ir4 0.3333 0.6667 0.8300
Ir5 0.6667 0.3333 0.1700
Ir6 0.6667 0.3333 0.4969
Ir7 0.6667 0.3333 0.6700
Ir8 0.6667 0.3333 0.9969
Rh1 0.0000 0.0000 0.1668
Rh2 0.0000 0.0000 0.3332
Rh3 0.0000 0.0000 0.6668
Rh4 0.0000 0.0000 0.8332


Material: Ac12Ir5Rh2
Method: DFT, PBE
State: optimized geometry

Results
For the total energy, the calculation gives -6.24 eV per atom. The space group is C2/m (12). The total magnetization comes out at 0.000 Bohr magnetons per cell.

abc: 8.9466 8.9466 10.5053
angles: 104.99 104.99 55.41
Atoms (fractional coordinates):
Ac1 0.0351 0.0351 0.3276
Ac2 0.0512 0.5708 0.3515
Ac3 0.1229 0.6142 0.9895
Ac4 0.3858 0.8771 0.0105
Ac5 0.4292 0.9488 0.6485
Ac6 0.4317 0.4317 0.6732
Ac7 0.5683 0.5683 0.3268
Ac8 0.5708 0.0512 0.3515
Ac9 0.6142 0.1229 0.9895
Ac10 0.8771 0.3858 0.0105
Ac11 0.9488 0.4292 0.6485
Ac12 0.9649 0.9649 0.6724
Ir1 0.2084 0.2084 0.8804
Ir2 0.2332 0.2332 0.4718
Ir3 0.5000 0.5000 0.0000
Ir4 0.7668 0.7668 0.5282
Ir5 0.7916 0.7916 0.1196
Rh1 0.2670 0.7330 0.5000
Rh2 0.7330 0.2670 0.5000


Material: AcIrRh2
Method: DFT, PBE
State: optimized geometry

Results
For the total energy, the calculation gives -7.24 eV per atom. The space group is R-3m (166). The total magnetization comes out at 0.247 Bohr magnetons per cell.

abc: 5.6720 5.6720 5.6720
angles: 46.20 46.20 46.20
Atoms (fractional coordinates):
Ac1 0.0000 0.0000 0.0000
Ir1 0.5000 0.5000 0.5000
Rh1 0.1982 0.1982 0.1982
Rh2 0.8018 0.8018 0.8018


Material: AcIr2Rh
Method: DFT, PBE
State: optimized geometry

Results
For the total energy, the calculation gives -7.58 eV per atom. The space group is R-3m (166). The total magnetization comes out at 0.003 Bohr magnetons per cell.

abc: 5.7892 5.7892 5.7892
angles: 45.92 45.92 45.92
Atoms (fractional coordinates):
Ac1 0.0000 0.0000 0.0000
Ir1 0.1862 0.1862 0.1862
Ir2 0.8138 0.8138 0.8138
Rh1 0.5000 0.5000 0.5000


Material: Ac3Ir2Rh4
Method: DFT, PBE
State: optimized geometry

Results
For the total energy, the calculation gives -7.07 eV per atom. The space group is P-6m2 (187). The total magnetization comes out at 2.791 Bohr magnetons per cell.

abc: 4.3709 4.3709 25.9476
angles: 90.00 90.00 120.00
Atoms (fractional coordinates):
Ac1 0.0000 0.0000 0.0831
Ac2 0.0000 0.0000 0.2491
Ac3 0.0000 0.0000 0.4155
Ac4 0.0000 0.0000 0.5845
Ac5 0.0000 0.0000 0.7509
Ac6 0.0000 0.0000 0.9169
Ir1 0.3333 0.6667 0.5000
Ir2 0.6667 0.3333 0.1661
Ir3 0.6667 0.3333 0.5000
Ir4 0.6667 0.3333 0.8339
Rh1 0.3333 0.6667 0.0000
Rh2 0.3333 0.6667 0.1660
Rh3 0.3333 0.6667 0.3323
Rh4 0.3333 0.6667 0.6677
Rh5 0.3333 0.6667 0.8340
Rh6 0.6667 0.3333 0.0000
Rh7 0.6667 0.3333 0.3321
Rh8 0.6667 0.3333 0.6679


Material: Ac2Ir3Rh
Method: DFT, PBE
State: optimized geometry

Results
For the total energy, the calculation gives -7.59 eV per atom. The space group is R-3m (166). The total magnetization comes out at 0.000 Bohr magnetons per cell.

abc: 5.5868 5.5868 5.5868
angles: 59.50 59.50 59.50
Atoms (fractional coordinates):
Ac1 0.1242 0.1242 0.1242
Ac2 0.8758 0.8758 0.8758
Ir1 0.0000 0.5000 0.5000
Ir2 0.5000 0.0000 0.5000
Ir3 0.5000 0.5000 0.0000
Rh1 0.5000 0.5000 0.5000


Material: Ac8Ir2Rh
Method: DFT, PBE
State: optimized geometry

Results
The space group is C2/m (12). As for the energy relative to the lowest polymorph listed for this composition: 0.082 eV per atom. The total magnetization comes out at 0.000 Bohr magnetons per cell.

abc: 8.7080 8.7080 6.9932
angles: 103.63 103.63 54.10
Atoms (fractional coordinates):
Ac1 0.0834 0.0834 0.3243
Ac2 0.1307 0.6200 0.1367
Ac3 0.3387 0.3387 0.6256
Ac4 0.3800 0.8693 0.8633
Ac5 0.6200 0.1307 0.1367
Ac6 0.6613 0.6613 0.3744
Ac7 0.8693 0.3800 0.8633
Ac8 0.9166 0.9166 0.6757
Ir1 0.2379 0.2379 0.1799
Ir2 0.7621 0.7621 0.8201
Rh1 0.5000 0.5000 0.0000


Material: Ac8IrRh2
Method: DFT, PBE
State: optimized geometry

Results
The space group is C2/m (12). As for the energy relative to the lowest polymorph listed for this composition: 0.025 eV per atom. The total magnetization comes out at 0.000 Bohr magnetons per cell.

abc: 8.3323 8.3323 7.2039
angles: 104.57 104.57 63.88
Atoms (fractional coordinates):
Ac1 0.1047 0.1047 0.2541
Ac2 0.1357 0.5912 0.2460
Ac3 0.3709 0.3709 0.7511
Ac4 0.4088 0.8643 0.7540
Ac5 0.5912 0.1357 0.2460
Ac6 0.6291 0.6291 0.2489
Ac7 0.8643 0.4088 0.7540
Ac8 0.8953 0.8953 0.7459
Ir1 0.5000 0.5000 0.5000
Rh1 0.2253 0.2253 0.9901
Rh2 0.7747 0.7747 0.0099


Material: Ac8Ir3Rh2
Method: DFT, PBE
State: optimized geometry

Results
For the total energy, the calculation gives -6.31 eV per atom. The space group is C2/m (12). The total magnetization comes out at 0.000 Bohr magnetons per cell.

abc: 8.1894 8.1894 7.4089
angles: 90.25 90.25 64.82
Atoms (fractional coordinates):
Ac1 0.1157 0.1157 0.1691
Ac2 0.1299 0.6164 0.3345
Ac3 0.3841 0.3841 0.8292
Ac4 0.3836 0.8701 0.6655
Ac5 0.6164 0.1299 0.3345
Ac6 0.6159 0.6159 0.1708
Ac7 0.8701 0.3836 0.6655
Ac8 0.8843 0.8843 0.8309
Ir1 0.2443 0.7557 0.0000
Ir2 0.5000 0.5000 0.5000
Ir3 0.7557 0.2443 0.0000
Rh1 0.2439 0.2439 0.4935
Rh2 0.7561 0.7561 0.5065


Material: Ac8Ir5Rh
Method: DFT, PBE
State: optimized geometry

Results
For the total energy, the calculation gives -6.65 eV per atom. The space group is I-4 (82). The total magnetization comes out at 0.000 Bohr magnetons per cell.

abc: 8.0700 8.0700 8.0700
angles: 109.51 109.51 109.40
Atoms (fractional coordinates):
Ac1 0.2570 0.5092 0.1308
Ac2 0.3746 0.1234 0.3684
Ac3 0.3784 0.1262 0.8692
Ac4 0.4908 0.6216 0.7478
Ac5 0.7550 0.0062 0.6316
Ac6 0.8738 0.7430 0.2522
Ac7 0.8766 0.2450 0.2512
Ac8 0.9938 0.6254 0.7488
Ir1 0.1233 0.2471 0.6242
Ir2 0.2500 0.7500 0.5000
Ir3 0.5009 0.8767 0.1237
Ir4 0.6229 0.4991 0.3758
Ir5 0.7529 0.3771 0.8763
Rh1 0.0000 0.0000 0.0000


Material: Ac3IrRh
Method: DFT, PBE
State: optimized geometry

Results
The space group is C2/m (12). As for the energy relative to the lowest polymorph listed for this composition: 0.199 eV per atom. The total magnetization comes out at 0.000 Bohr magnetons per cell.

abc: 7.4070 7.4070 9.5565
angles: 108.36 108.36 46.73
Atoms (fractional coordinates):
Ac1 0.0993 0.0993 0.2086
Ac2 0.1691 0.1691 0.6294
Ac3 0.3697 0.3697 0.0573
Ac4 0.6303 0.6303 0.9427
Ac5 0.8309 0.8309 0.3706
Ac6 0.9007 0.9007 0.7914
Ir1 0.1309 0.1309 0.9112
Ir2 0.8691 0.8691 0.0888
Rh1 0.3819 0.3819 0.7198
Rh2 0.6181 0.6181 0.2802